Entry from Alexandria via LeMat-Bulk: a relaxed Sr3Ni3N5 crystal (PBE).

a = 6.0878 Å, b = 7.3784 Å, c = 8.4390 Å
α = 67.32°, β = 71.59°, γ = 81.29°
Closest atoms and distances in Å follow each position.
Fractional coordinates of all 22 atoms:
Sr 0.8691 0.4108 0.3867  4 N 2.50-2.66
Sr 0.1309 0.5892 0.6133  4 N 2.50-2.66
Sr 0.2001 0.8724 0.1337  5 N 2.62-2.84
Sr 0.7999 0.1276 0.8663  5 N 2.62-2.84
Sr 0.5158 0.6927 0.7767  5 N 2.58-2.78
Sr 0.4842 0.3073 0.2233  5 N 2.58-2.78
Ni 0.0967 0.3356 0.0255  3 N 1.81-1.86
Ni 0.9033 0.6644 0.9745  3 N 1.81-1.86
Ni 0.8331 0.9873 0.4326  3 N 1.77-1.85
Ni 0.1669 0.0127 0.5674  3 N 1.77-1.85
Ni 0.6016 0.8075 0.3199  3 N 1.77-1.85
Ni 0.3984 0.1925 0.6801  3 N 1.77-1.85
N 0.9077 0.1490 0.2041  2 Ni 1.79-1.81
N 0.0923 0.8510 0.7959  2 Ni 1.79-1.81
N 0.8225 0.7330 0.4442  2 Ni 1.85
N 0.1775 0.2670 0.5558  2 Ni 1.85
N 0.1673 0.5298 0.0896  2 Ni 1.86-2.07
N 0.8327 0.4702 0.9104  2 Ni 1.86-2.07
N 0.3367 0.9262 0.3956  2 Ni 1.77
N 0.6633 0.0738 0.6044  2 Ni 1.77
N 0.6569 0.7375 0.1308  2 Ni 1.78-1.83
N 0.3431 0.2625 0.8692  2 Ni 1.78-1.83

Space-group type: P-1
Total DFT energy (no corrections): -132.4 eV for the cell shown